VASP calculation (GGA-PBE) on a geometry-optimized TbPm2Zn structure.

Cell lengths 3.6451, 3.6451, 8.7187 Å; angles 90.00, 90.00, 90.00 degrees
Atoms (fractional coordinates):
Tb  0.0000  0.0000  0.0000
Pm  0.5000  0.5000  0.2897
Pm  0.5000  0.5000  0.7103
Zn  0.0000  0.0000  0.5000

Computed properties:
* space-group type: No. 123
* N(E_F): 3.9 states/eV/f.u.
* calculated total energy: -16.00 eV for the cell shown
* energy relative to the lowest polymorph listed for this composition: 0.000 eV per atom